Below is crystalline La3Mn2Sb3O14 at its relaxed geometry, with properties calculated at the GGA+U level.

Properties
The spin magnetization is 30.00 Bohr magnetons per cell. The value obtained for the electronic total energy is -7.356 eV per atom.

CIF file:
```
data_La3Mn2Sb3O14
_cell_length_a 7.6313
_cell_length_b 7.6313
_cell_length_c 17.9671
_cell_angle_alpha 90.00
_cell_angle_beta 90.00
_cell_angle_gamma 120.00
_symmetry_space_group_name_H-M 'R -3 m'
_symmetry_Int_Tables_number 166
_symmetry_space_group_name_Hall '-R 3 2"'
loop_
_atom_site_label
_atom_site_type_symbol
_atom_site_fract_x
_atom_site_fract_y
_atom_site_fract_z
La1 La 0.0000 0.5000 0.0000
Mn1 Mn 0.0000 0.0000 0.0000
Mn2 Mn 0.0000 0.0000 0.5000
Sb1 Sb 0.0000 0.5000 0.5000
O1 O 0.0000 0.0000 0.3853
O2 O 0.0383 0.5191 0.6088
O3 O 0.0683 0.5342 0.8526
```